#P
# Bi2As2Cl

A relaxed Bi2As2Cl crystal (PBE, the Alexandria database).

Cell and atoms, written as POSCAR:
```
Bi2As2Cl
1.0
-2.572 1.121 3.772
-2.785 -3.701 -0.799
1.410 -5.222 5.443
Bi Cl As
2 1 2
Direct
0.370 0.370 0.260
0.630 0.630 0.740
0.000 0.000 0.000
0.250 0.750 0.500
0.750 0.250 0.500
```

Computed properties:
* M_tot: 0.000 μB/atom
* space-group type: I4/mmm



#Q
# Bi2As2Cl

A relaxed Bi2As2Cl crystal (PBE, the Alexandria database).

Cell and atoms, written as POSCAR:
```
Bi2As2Cl
1.0
8.329 0.000 0.000
0.000 8.329 0.000
0.000 0.000 3.720
As Bi Cl
4 4 2
Direct
0.373 0.127 0.500
0.127 0.627 0.500
0.627 0.873 0.500
0.873 0.373 0.500
0.160 0.340 0.000
0.840 0.660 0.000
0.340 0.840 0.000
0.660 0.160 0.000
0.000 0.000 0.000
0.500 0.500 0.000
```

Computed properties:
* M_tot: 0.000 μB/atom
* space-group type: P4/mbm



Stability summary - winner: #P; margin: 0.057 eV/atom.



#P
# BiAsPCl2

A relaxed BiAsPCl2 crystal (PBE, the Alexandria database).

Cell and atoms, written as POSCAR:
```
BiAsPCl2
1.0
-3.525 -1.925 3.438
3.881 -0.900 3.475
-0.745 5.299 2.203
P As Cl Bi
1 1 2 1
Direct
0.000 0.000 0.500
0.500 0.500 0.500
0.000 0.500 0.000
0.500 0.000 0.000
0.000 0.000 0.000
```

Computed properties:
* M_tot: 0.202 μB/atom
* space-group type: P4/mmm



#Q
# BiAsPCl2

A relaxed BiAsPCl2 crystal (PBE, the Alexandria database).

Cell and atoms, written as POSCAR:
```
BiAsPCl2
1.0
4.857 0.000 0.000
0.000 4.857 0.000
0.000 0.000 5.195
P Bi Cl As
1 1 2 1
Direct
0.000 0.000 0.500
0.500 0.500 0.500
0.500 0.000 0.000
0.000 0.500 0.000
0.000 0.000 0.000
```

Computed properties:
* M_tot: 0.134 μB/atom
* space-group type: P4/mmm



Stability summary - winner: #Q; margin: 0.215 eV/atom.



#P
# CoBiAsSe2

A relaxed CoBiAsSe2 crystal (PBE, the Alexandria database).

Cell and atoms, written as POSCAR:
```
CoBiAsSe2
1.0
4.996 0.000 0.000
0.000 4.996 0.000
0.000 0.000 4.341
Se Co Bi As
2 1 1 1
Direct
0.500 0.000 0.000
0.000 0.500 0.000
0.000 0.000 0.000
0.500 0.500 0.500
0.000 0.000 0.500
```

Computed properties:
* M_tot: 0.000 μB/atom
* space-group type: P4/mmm



#Q
# CoBiAsSe2

A relaxed CoBiAsSe2 crystal (PBE, the Alexandria database).

Cell and atoms, written as POSCAR:
```
CoBiAsSe2
1.0
-0.205 -4.895 -2.470
4.934 0.913 -2.219
2.370 -2.284 4.329
Se As Co Bi
2 1 1 1
Direct
0.000 0.500 0.000
0.500 0.000 0.000
0.000 0.000 0.500
0.500 0.500 0.500
0.000 0.000 0.000
```

Computed properties:
* M_tot: 0.712 μB/atom
* space-group type: P4/mmm



Stability summary - winner: #P; margin: 1.118 eV/atom.



#P
# Cs3BiAs

A relaxed Cs3BiAs crystal (PBE, the Alexandria database).

Cell and atoms, written as POSCAR:
```
Cs3BiAs
1.0
-6.655 1.863 2.670
1.003 -4.606 5.716
3.097 5.496 3.885
Bi Cs As
1 3 1
Direct
0.000 0.000 0.000
0.000 0.500 0.000
0.000 0.000 0.500
0.500 0.000 0.000
0.500 0.500 0.500
```

Computed properties:
* M_tot: 0.600 μB/atom
* space-group type: Pm-3m



#Q
# Cs3BiAs

A relaxed Cs3BiAs crystal (PBE, the Alexandria database).

Cell and atoms, written as POSCAR:
```
Cs3BiAs
1.0
-0.273 -6.230 6.161
-1.755 -5.253 -6.794
7.963 4.563 -0.552
Bi Cs As
2 6 2
Direct
0.313 0.950 0.263
0.687 0.050 0.737
0.851 0.046 0.287
0.149 0.954 0.713
0.242 0.437 0.287
0.758 0.563 0.713
0.699 0.428 0.127
0.301 0.572 0.873
0.412 0.215 0.627
0.588 0.785 0.373
```

Computed properties:
* M_tot: 0.012 μB/atom
* space-group type: C2/m



#R
# Cs3BiAs

A relaxed Cs3BiAs crystal (PBE, the Alexandria database).

Cell and atoms, written as POSCAR:
```
Cs3BiAs
1.0
6.281 0.000 0.000
-3.140 6.275 -1.606
0.000 0.001 12.494
As Cs Bi
2 6 2
Direct
0.924 0.847 0.924
0.076 0.153 0.076
0.621 0.241 0.912
0.927 0.853 0.622
0.713 0.425 0.290
0.073 0.147 0.378
0.287 0.575 0.710
0.379 0.759 0.088
0.604 0.209 0.588
0.396 0.791 0.412
```

Computed properties:
* M_tot: 0.185 μB/atom
* space-group type: C2/m



Stability summary - winner: #R; margin: 0.151 eV/atom.



#P
# CsBi2As2

A relaxed CsBi2As2 crystal (PBE, the Alexandria database).

Cell and atoms, written as POSCAR:
```
CsBi2As2
1.0
9.368 0.000 0.000
0.000 9.368 0.000
0.000 0.000 3.767
Cs Bi As
2 4 4
Direct
0.500 0.500 0.000
0.000 0.000 0.000
0.116 0.384 0.000
0.384 0.884 0.000
0.884 0.616 0.000
0.616 0.116 0.000
0.355 0.145 0.500
0.145 0.645 0.500
0.855 0.355 0.500
0.645 0.855 0.500
```

Computed properties:
* M_tot: 0.000 μB/atom
* space-group type: P4/mbm



#Q
# CsBi2As2

A relaxed CsBi2As2 crystal (PBE, the Alexandria database).

Cell and atoms, written as POSCAR:
```
CsBi2As2
1.0
-7.926 -4.450 1.365
2.790 -2.384 8.427
-1.549 3.192 1.416
Bi Cs As
4 2 4
Direct
0.377 0.123 0.500
0.123 0.623 0.500
0.623 0.877 0.500
0.877 0.377 0.500
0.500 0.500 0.000
0.000 0.000 0.000
0.860 0.640 0.000
0.640 0.140 0.000
0.360 0.860 0.000
0.140 0.360 0.000
```

Computed properties:
* M_tot: 0.000 μB/atom
* space-group type: P4/mbm



#R
# CsBi2As2

A relaxed CsBi2As2 crystal (PBE, the Alexandria database).

Cell and atoms, written as POSCAR:
```
CsBi2As2
1.0
4.864 0.000 0.000
0.000 4.864 0.000
2.432 2.432 6.924
As Bi Cs
2 2 1
Direct
0.412 0.412 0.177
0.588 0.588 0.823
0.250 0.750 0.500
0.750 0.250 0.500
0.000 0.000 0.000
```

Computed properties:
* M_tot: 0.000 μB/atom
* space-group type: I4/mmm



Stability summary - winner: #R; margin: 0.077 eV/atom.



#P
# CsBiAsSe2

A relaxed CsBiAsSe2 crystal (PBE, the Alexandria database).

Cell and atoms, written as POSCAR:
```
CsBiAsSe2
1.0
-5.305 -1.604 0.138
1.557 -4.993 1.838
-0.435 1.923 5.593
Bi As Cs Se
1 1 1 2
Direct
0.500 0.500 0.500
0.000 0.000 0.500
0.000 0.000 0.000
0.000 0.500 0.000
0.500 0.000 0.000
```

Computed properties:
* M_tot: 0.000 μB/atom
* space-group type: P4/mmm



#Q
# CsBiAsSe2

A relaxed CsBiAsSe2 crystal (PBE, the Alexandria database).

Cell and atoms, written as POSCAR:
```
CsBiAsSe2
1.0
-0.491 2.054 -5.346
-1.800 -5.149 -1.813
-5.325 1.488 1.060
As Se Bi Cs
1 2 1 1
Direct
0.000 0.000 0.500
0.500 0.000 0.000
0.000 0.500 0.000
0.000 0.000 0.000
0.500 0.500 0.500
```

Computed properties:
* M_tot: 0.364 μB/atom
* space-group type: P4/mmm



Stability summary - winner: #Q; margin: 1.290 eV/atom.



#P
# CuBiAs

A relaxed CuBiAs crystal (PBE, the Alexandria database).

Cell and atoms, written as POSCAR:
```
CuBiAs
1.0
-1.928 -1.477 3.138
1.909 -6.271 -1.779
8.191 0.940 5.476
Bi Cu As
4 4 4
Direct
0.750 0.710 0.574
0.250 0.290 0.426
0.750 0.790 0.074
0.250 0.210 0.926
0.750 0.466 0.817
0.250 0.966 0.683
0.250 0.534 0.183
0.750 0.034 0.317
0.750 0.179 0.661
0.250 0.679 0.839
0.250 0.821 0.339
0.750 0.321 0.161
```

Computed properties:
* M_tot: 0.000 μB/atom
* space-group type: Pnma



#Q
# CuBiAs

A relaxed CuBiAs crystal (PBE, the Alexandria database).

Cell and atoms, written as POSCAR:
```
CuBiAs
1.0
-1.129 1.448 4.193
2.959 -0.477 3.460
2.054 3.684 1.780
Cu Bi As
1 1 1
Direct
0.250 0.250 0.250
0.000 0.000 0.000
0.500 0.500 0.500
```

Computed properties:
* M_tot: 0.000 μB/atom
* space-group type: F-43m



Stability summary - winner: #P; margin: 0.050 eV/atom.



#P
# Bi2As2F

A relaxed Bi2As2F crystal (PBE, the Alexandria database).

Cell and atoms, written as POSCAR:
```
Bi2As2F
1.0
-1.774 2.281 -3.646
-0.434 -4.019 -2.303
-7.333 -1.653 -0.434
Bi As F
2 2 1
Direct
0.627 0.627 0.746
0.373 0.373 0.254
0.250 0.750 0.500
0.750 0.250 0.500
0.000 0.000 0.000
```

Computed properties:
* M_tot: 0.000 μB/atom
* space-group type: I4/mmm



#Q
# Bi2As2F

A relaxed Bi2As2F crystal (PBE, the Alexandria database).

Cell and atoms, written as POSCAR:
```
Bi2As2F
1.0
-5.250 -0.837 5.487
-2.623 -6.282 -3.468
2.582 -2.253 2.127
Bi As F
4 4 2
Direct
0.819 0.681 0.000
0.681 0.181 0.000
0.181 0.319 0.000
0.319 0.819 0.000
0.874 0.374 0.500
0.626 0.874 0.500
0.126 0.626 0.500
0.374 0.126 0.500
0.500 0.500 0.000
0.000 0.000 0.000
```

Computed properties:
* M_tot: 0.000 μB/atom
* space-group type: P4/mbm



Stability summary - winner: #Q; margin: 0.119 eV/atom.



#P
# BiAs2F

A relaxed BiAs2F crystal (PBE, the Alexandria database).

Cell and atoms, written as POSCAR:
```
BiAs2F
1.0
-1.862 -2.294 2.416
0.671 -2.969 -2.302
9.076 -4.699 5.547
As F Bi
4 2 2
Direct
0.591 0.125 0.250
0.159 0.625 0.250
0.875 0.841 0.750
0.375 0.409 0.750
0.250 0.750 0.500
0.500 0.500 0.000
0.750 0.250 0.500
0.000 0.000 0.000
```

Computed properties:
* M_tot: 0.000 μB/atom
* space-group type: I-42d



#Q
# BiAs2F

A relaxed BiAs2F crystal (PBE, the Alexandria database).

Cell and atoms, written as POSCAR:
```
BiAs2F
1.0
-0.211 -4.274 2.283
-3.339 -3.274 -1.286
1.338 -4.050 -2.308
Bi As F
1 2 1
Direct
0.500 0.500 0.500
0.750 0.750 0.750
0.250 0.250 0.250
0.000 0.000 0.000
```

Computed properties:
* M_tot: 0.000 μB/atom
* space-group type: Fm-3m



Stability summary - winner: #P; margin: 0.333 eV/atom.



#P
# Bi2AsF

A relaxed Bi2AsF crystal (PBE, the Alexandria database).

Cell and atoms, written as POSCAR:
```
Bi2AsF
1.0
-4.978 -0.210 -0.648
-3.079 1.175 3.793
-2.693 4.239 -0.170
Bi F As
2 1 1
Direct
0.250 0.250 0.250
0.750 0.750 0.750
0.000 0.000 0.000
0.500 0.500 0.500
```

Computed properties:
* M_tot: 0.000 μB/atom
* space-group type: Fm-3m



#Q
# Bi2AsF

A relaxed Bi2AsF crystal (PBE, the Alexandria database).

Cell and atoms, written as POSCAR:
```
Bi2AsF
1.0
7.483 0.000 0.000
0.000 7.483 0.000
3.741 3.741 3.423
Bi F As
4 2 2
Direct
0.610 0.125 0.250
0.375 0.390 0.750
0.875 0.860 0.750
0.140 0.625 0.250
0.250 0.750 0.500
0.500 0.500 0.000
0.750 0.250 0.500
0.000 0.000 0.000
```

Computed properties:
* M_tot: 0.000 μB/atom
* space-group type: I-42d



Stability summary - winner: #Q; margin: 0.088 eV/atom.



#P
# BiAsNF2

A relaxed BiAsNF2 crystal (PBE, the Alexandria database).

Cell and atoms, written as POSCAR:
```
BiAsNF2
1.0
-1.848 3.421 2.181
-2.918 0.545 -3.327
-3.026 -3.012 2.160
As N F Bi
1 1 2 1
Direct
0.500 0.500 0.500
0.000 0.000 0.500
0.000 0.500 0.000
0.500 0.000 0.000
0.000 0.000 0.000
```

Computed properties:
* M_tot: 0.270 μB/atom
* space-group type: P4/mmm



#Q
# BiAsNF2

A relaxed BiAsNF2 crystal (PBE, the Alexandria database).

Cell and atoms, written as POSCAR:
```
BiAsNF2
1.0
4.329 0.000 0.000
0.000 4.329 0.000
0.000 0.000 4.102
As N F Bi
1 1 2 1
Direct
0.000 0.000 0.000
0.000 0.000 0.500
0.500 0.000 0.000
0.000 0.500 0.000
0.500 0.500 0.500
```

Computed properties:
* M_tot: 0.000 μB/atom
* space-group type: P4/mmm



Stability summary - winner: #Q; margin: 0.189 eV/atom.



#P
# BiAsN2F

A relaxed BiAsN2F crystal (PBE, the Alexandria database).

Cell and atoms, written as POSCAR:
```
BiAsN2F
1.0
4.375 0.000 0.000
0.000 4.375 0.000
0.000 0.000 4.278
Bi F N As
1 1 2 1
Direct
0.000 0.000 0.000
0.000 0.000 0.500
0.000 0.500 0.000
0.500 0.000 0.000
0.500 0.500 0.500
```

Computed properties:
* M_tot: 0.000 μB/atom
* space-group type: P4/mmm



#Q
# BiAsN2F

A relaxed BiAsN2F crystal (PBE, the Alexandria database).

Cell and atoms, written as POSCAR:
```
BiAsN2F
1.0
-2.549 -3.159 0.419
1.951 -1.971 -2.994
2.453 -1.625 2.667
N Bi As F
2 1 1 1
Direct
0.500 0.000 0.000
0.000 0.500 0.000
0.500 0.500 0.500
0.000 0.000 0.000
0.000 0.000 0.500
```

Computed properties:
* M_tot: 0.000 μB/atom
* space-group type: P4/mmm



Stability summary - winner: #Q; margin: 0.634 eV/atom.